DFT (GGA-PBE) results for a relaxed structure of Nd14TmSc.

The structure in POSCAR format:
```
Nd14TmSc
1.0
-4.9966 -4.6917 -2.4735
2.0338 -4.8331 5.0598
-6.9219 3.9272 6.5336
Sc Nd Tm
1 14 1
Direct
0.8748 0.1252 0.0000 Sc
0.1232 0.8768 0.7553 Nd
0.3746 0.1247 0.5000 Nd
0.1232 0.3732 0.7549 Nd
0.6268 0.8768 0.7549 Nd
0.8749 0.1251 0.5000 Nd
0.8748 0.6246 0.0000 Nd
0.3754 0.1252 0.0000 Nd
0.3750 0.6250 0.5000 Nd
0.8753 0.6254 0.5000 Nd
0.6267 0.3733 0.2454 Nd
0.6268 0.8768 0.2451 Nd
0.1232 0.3732 0.2451 Nd
0.6267 0.3733 0.7546 Nd
0.1232 0.8768 0.2447 Nd
0.3751 0.6249 0.0000 Tm
```

Computed properties:
- DFT formation energy (eV/atom) = 0.02
- space group = P4/mmm (123)
- calculated volume (Å³/f.u.) = 547

***

DFT (GGA-PBE) results for a relaxed structure of SrPaSiN4.

The structure in POSCAR format:
```
SrPaSiN4
1.0
-1.5399 -0.1424 5.4290
-5.1683 -1.0224 -1.4928
1.8426 -6.6309 -1.8379
N Si Sr Pa
8 2 2 2
Direct
0.9640 0.4911 0.6984 N
0.4420 0.7500 0.1760 N
0.4443 0.7500 0.5641 N
0.9640 0.0089 0.6984 N
0.5557 0.2500 0.4359 N
0.0360 0.5089 0.3016 N
0.5580 0.2500 0.8240 N
0.0360 0.9911 0.3016 N
0.2443 0.7500 0.3228 Si
0.7557 0.2500 0.6772 Si
0.2967 0.2500 0.0750 Sr
0.7033 0.7500 0.9250 Sr
0.7743 0.7500 0.4475 Pa
0.2257 0.2500 0.5525 Pa
```

Computed properties:
- raw formation energy (kJ per mole of atoms) = -99.6
- space group = P2_1/m (11)
- calculated volume (Å³/f.u.) = 105

***

DFT (GGA-PBE) results for a relaxed structure of RbCa3In.

The structure in POSCAR format:
```
RbCa3In
1.0
-4.0761 2.2983 -3.8591
-0.8944 -5.5222 -2.3441
-4.4017 -1.0062 4.0499
Ca In Rb
3 1 1
Direct
0.0000 0.5000 0.0000 Ca
0.0000 0.0000 0.5000 Ca
0.5000 0.0000 0.0000 Ca
0.5000 0.5000 0.5000 In
0.0000 0.0000 0.0000 Rb
```

Computed properties:
- offset from the most stable computed form (eV/atom) = 0.998
- DFT formation energy (eV/atom) = 0.98
- space group = Pm-3m (221)
- calculated volume (Å³/f.u.) = 223

***

DFT (GGA-PBE) results for a relaxed structure of BaNa2Cd10.

The structure in POSCAR format:
```
BaNa2Cd10
1.0
-5.5714 -0.0868 1.2321
-1.6561 -5.7965 5.3187
-1.5869 4.9078 6.3853
Cd Na Ba
10 2 1
Direct
0.3589 0.6371 0.6450 Cd
0.2816 0.2175 0.2192 Cd
0.5000 0.5000 0.0000 Cd
0.9960 0.3629 0.6450 Cd
0.4991 0.7825 0.2192 Cd
0.6411 0.3629 0.3550 Cd
0.7184 0.7825 0.7808 Cd
0.5009 0.2175 0.7808 Cd
0.0040 0.6371 0.3550 Cd
0.0000 0.5000 0.0000 Cd
0.5000 0.0000 0.5000 Na
0.0000 0.0000 0.5000 Na
0.0000 0.0000 0.0000 Ba
```

Computed properties:
- DFT formation energy (eV/atom) = -0.10
- space group = Fmmm (69)
- calculated volume (Å³/f.u.) = 330

***

DFT (GGA-PBE) results for a relaxed structure of PrAl2Au2.

The structure in POSCAR format:
```
PrAl2Au2
1.0
4.4477 0.0000 0.0000
0.0000 4.4477 0.0000
0.0000 0.0000 10.4809
Al Pr Au
4 2 4
Direct
0.0000 0.5000 0.8690 Al
0.5000 0.0000 0.1310 Al
0.0000 0.0000 0.5000 Al
0.5000 0.5000 0.5000 Al
0.0000 0.5000 0.2478 Pr
0.5000 0.0000 0.7522 Pr
0.5000 0.0000 0.3709 Au
0.0000 0.5000 0.6291 Au
0.0000 0.0000 0.0000 Au
0.5000 0.5000 0.0000 Au
```

Computed properties:
- DFT formation energy (eV/atom) = -0.75
- space group = P4/nmm (129)
- calculated volume (Å³/f.u.) = 104

***

DFT (GGA-PBE) results for a relaxed structure of ZrGa2Os2.

The structure in POSCAR format:
```
ZrGa2Os2
1.0
-3.0423 -6.6194 -0.1431
5.7860 -2.7347 3.4837
-1.3479 0.5616 2.6795
Os Zr Ga
4 2 4
Direct
0.6395 0.1395 0.0000 Os
0.3605 0.8605 0.0000 Os
0.8605 0.6395 0.0000 Os
0.1395 0.3605 0.0000 Os
0.0000 0.0000 0.0000 Zr
0.5000 0.5000 0.0000 Zr
0.8427 0.3427 0.5000 Ga
0.1573 0.6573 0.5000 Ga
0.6573 0.8427 0.5000 Ga
0.3427 0.1573 0.5000 Ga
```

Computed properties:
- offset from the most stable computed form (eV/atom) = 0.055
- DFT formation energy (eV/atom) = -0.11
- space group = P4/mbm (127)
- calculated volume (Å³/f.u.) = 81

***

DFT (GGA-PBE) results for a relaxed structure of BaSi2W.

The structure in POSCAR format:
```
BaSi2W
1.0
5.4180 -0.0642 0.0195
-0.1808 5.4154 -0.0195
-1.6217 -3.6513 3.6603
Si Ba W
2 1 1
Direct
0.5918 0.5918 0.0000 Si
0.9082 0.9082 0.0000 Si
0.2500 0.7500 0.5000 Ba
0.7500 0.2500 0.5000 W
```

Computed properties:
- offset from the most stable computed form (eV/atom) = 0.536
- raw formation energy (kJ per mole of atoms) = 52.0
- space group = Immm (71)
- calculated volume (Å³/f.u.) = 107

***

DFT (GGA-PBE) results for a relaxed structure of LaScAg3.

The structure in POSCAR format:
```
LaScAg3
1.0
5.1394 0.0000 0.0000
0.0000 5.1394 0.0000
0.0000 0.0000 5.1394
Ag Sc La
3 1 1
Direct
0.5000 0.0000 0.0000 Ag
0.0000 0.5000 0.0000 Ag
0.0000 0.0000 0.5000 Ag
0.0000 0.0000 0.0000 Sc
0.5000 0.5000 0.5000 La
```

Computed properties:
- offset from the most stable computed form (eV/atom) = 0.000
- DFT formation energy (eV/atom) = 0.25
- space group = Pm-3m (221)
- calculated volume (Å³/f.u.) = 136

***

DFT (GGA-PBE) results for a relaxed structure of Dy3Th2Se6.

The structure in POSCAR format:
```
Dy3Th2Se6
1.0
6.7879 0.0000 2.0375
3.3939 6.1668 1.0187
0.3545 0.0000 7.1321
Se Dy Th
6 3 2
Direct
0.4152 0.6760 0.7558 Se
0.5848 0.3240 0.2442 Se
0.7370 0.0000 0.7522 Se
0.2630 0.0000 0.2478 Se
0.9087 0.6760 0.2442 Se
0.0913 0.3240 0.7558 Se
0.3338 0.3325 0.0000 Dy
0.0000 0.0000 0.0000 Dy
0.6662 0.6675 0.0000 Dy
0.1656 0.6689 0.5000 Th
0.8344 0.3311 0.5000 Th
```

Computed properties:
- raw formation energy (kJ per mole of atoms) = -169.1
- space group = C2/m (12)
- calculated volume (Å³/f.u.) = 294

***

DFT (GGA-PBE) results for a relaxed structure of Al3NiSn.

The structure in POSCAR format:
```
Al3NiSn
1.0
5.1700 0.0000 0.0000
0.0000 5.1700 0.0000
0.0000 0.0000 5.1700
Al Sn Ni
3 1 1
Direct
0.0000 0.0000 0.5000 Al
0.0000 0.5000 0.0000 Al
0.5000 0.0000 0.0000 Al
0.0000 0.0000 0.0000 Sn
0.5000 0.5000 0.5000 Ni
```

Computed properties:
- offset from the most stable computed form (eV/atom) = 1.306
- DFT formation energy (eV/atom) = 1.30
- space group = Pm-3m (221)
- calculated volume (Å³/f.u.) = 138

***

DFT (GGA-PBE) results for a relaxed structure of Ac5CdPb3.

The structure in POSCAR format:
```
Ac5CdPb3
1.0
7.2870 0.0000 0.0000
0.0000 10.2696 0.0000
0.0000 -5.1348 8.8941
Ac Pb Cd
10 6 2
Direct
0.7500 0.7184 0.7184 Ac
0.5000 0.6667 0.3334 Ac
0.7500 0.2816 0.0000 Ac
0.0000 0.3333 0.6666 Ac
0.2500 0.2816 0.2816 Ac
0.7500 0.0000 0.2816 Ac
0.2500 0.0000 0.7184 Ac
0.0000 0.6667 0.3334 Ac
0.2500 0.7184 0.0000 Ac
0.5000 0.3333 0.6666 Ac
0.7500 0.3734 0.3734 Pb
0.7500 0.0000 0.6266 Pb
0.2500 0.3735 0.0000 Pb
0.2500 0.0000 0.3734 Pb
0.2500 0.6266 0.6266 Pb
0.7500 0.6265 0.0000 Pb
0.5000 0.0000 0.0000 Cd
0.0000 0.0000 0.0000 Cd
```

Computed properties:
- DFT formation energy (eV/atom) = -0.45
- space group = P6_3/mcm (193)
- calculated volume (Å³/f.u.) = 333

***

DFT (GGA-PBE) results for a relaxed structure of Cs2LaRhN.

The structure in POSCAR format:
```
Cs2LaRhN
1.0
-3.6675 -4.4148 3.2261
-1.0115 -1.5518 -3.2735
5.1733 -4.0595 0.3260
La Cs Rh N
1 2 1 1
Direct
0.5000 0.5000 0.5000 La
0.0000 0.0000 0.5000 Cs
0.5000 0.0000 0.0000 Cs
0.0000 0.5000 0.0000 Rh
0.0000 0.0000 0.0000 N
```

Computed properties:
- raw formation energy (kJ per mole of atoms) = 53.8
- space group = P4/mmm (123)
- calculated volume (Å³/f.u.) = 163

***

DFT (GGA-PBE) results for a relaxed structure of NaHRhF6.

The structure in POSCAR format:
```
NaHRhF6
1.0
-4.3546 0.5480 -2.2301
1.0483 -4.1934 2.3564
-3.9267 3.8599 8.6161
H F Na Rh
2 12 2 2
Direct
0.6667 0.3333 0.7500 H
0.3333 0.6667 0.2500 H
0.6352 0.9859 0.3522 F
0.9859 0.6352 0.8522 F
0.6493 0.0141 0.8522 F
0.9859 0.3507 0.6478 F
0.0141 0.3648 0.1478 F
0.6493 0.6352 0.6478 F
0.0141 0.6493 0.3522 F
0.3648 0.3507 0.8522 F
0.3507 0.3648 0.3522 F
0.3648 0.0141 0.6478 F
0.3507 0.9859 0.1478 F
0.6352 0.6493 0.1478 F
0.0000 0.0000 0.0000 Na
0.0000 0.0000 0.5000 Na
0.6667 0.3333 0.2500 Rh
0.3333 0.6667 0.7500 Rh
```

Computed properties:
- E (eV/cell) = -74.5
- space group = P-31c (163)
- calculated volume (Å³/f.u.) = 107

***

DFT (GGA-PBE) results for a relaxed structure of SrHf3Pb.

The structure in POSCAR format:
```
SrHf3Pb
1.0
-4.1188 2.3069 -2.7982
-0.8125 -4.7137 -2.6901
-3.5343 -1.6047 3.8794
Pb Hf Sr
1 3 1
Direct
0.0000 0.0000 0.0000 Pb
0.5000 0.0000 0.0000 Hf
0.0000 0.0000 0.5000 Hf
0.0000 0.5000 0.0000 Hf
0.5000 0.5000 0.5000 Sr
```

Computed properties:
- offset from the most stable computed form (eV/atom) = 0.000
- DFT formation energy (eV/atom) = 1.13
- space group = Pm-3m (221)
- calculated volume (Å³/f.u.) = 165

***

DFT (GGA-PBE) results for a relaxed structure of RbEuBi.

The structure in POSCAR format:
```
RbEuBi
1.0
5.7019 0.0000 0.0000
0.0000 5.5643 0.0000
0.0000 -2.7821 4.8188
Eu Bi Rb
1 1 1
Direct
0.1684 0.3333 0.6667 Eu
0.1641 0.0000 0.0000 Bi
0.6675 0.6667 0.3333 Rb
```

Computed properties:
- DFT formation energy (eV/atom) = -0.39
- space group = P3m1 (156)
- calculated volume (Å³/f.u.) = 153

***

DFT (GGA-PBE) results for a relaxed structure of Al2CoSe.

The structure in POSCAR format:
```
Al2CoSe
1.0
3.3228 0.0000 0.0000
0.0000 3.4555 -0.0137
0.0000 1.7519 5.5069
Al Se Co
2 1 1
Direct
0.5000 0.2820 0.3118 Al
0.0000 0.9417 0.9917 Al
0.5000 0.5452 0.7834 Se
0.0000 0.7312 0.4131 Co
```

Computed properties:
- raw formation energy (kJ per mole of atoms) = -18.4
- space group = Amm2 (38)
- calculated volume (Å³/f.u.) = 63

***

DFT (GGA-PBE) results for a relaxed structure of RbNaGaHg2.

The structure in POSCAR format:
```
RbNaGaHg2
1.0
-1.7144 2.9573 4.2516
3.9855 -2.1064 3.0722
3.4984 4.3072 -1.5853
Rb Na Ga Hg
1 1 1 2
Direct
0.5000 0.5000 0.5000 Rb
0.0000 0.0000 0.5000 Na
0.0000 0.0000 0.0000 Ga
0.5000 0.0000 0.0000 Hg
0.0000 0.5000 0.0000 Hg
```

Computed properties:
- DFT formation energy (eV/atom) = -0.11
- space group = P4/mmm (123)
- calculated volume (Å³/f.u.) = 172

***

DFT (GGA-PBE) results for a relaxed structure of HfZrSc.

The structure in POSCAR format:
```
HfZrSc
1.0
-5.0560 1.2538 -0.5805
0.2828 -0.2619 -3.0280
1.2955 -4.7716 2.0723
Zr Hf Sc
1 1 1
Direct
0.2109 0.7109 0.4219 Zr
0.9050 0.9050 0.8101 Hf
0.5305 0.5305 0.0610 Sc
```

Computed properties:
- offset from the most stable computed form (eV/atom) = 0.137
- DFT formation energy (eV/atom) = 0.19
- space group = Imm2 (44)
- calculated volume (Å³/f.u.) = 71

***

DFT (GGA-PBE) results for a relaxed structure of LaAgCl.

The structure in POSCAR format:
```
LaAgCl
1.0
-1.1632 2.9811 -2.4261
-1.8985 -0.6086 3.4858
4.6176 4.4860 3.2982
La Ag Cl
1 1 1
Direct
0.3333 0.6667 0.6501 La
0.0000 0.0000 0.9478 Ag
0.6667 0.3333 0.4021 Cl
```

Computed properties:
- offset from the most stable computed form (eV/atom) = 0.322
- raw formation energy (kJ per mole of atoms) = -78.2
- space group = P3m1 (156)
- calculated volume (Å³/f.u.) = 101

***

DFT (GGA-PBE) results for a relaxed structure of POsW3.

The structure in POSCAR format:
```
POsW3
1.0
-3.2157 2.0200 -2.1922
0.6065 -2.7139 -3.3903
-2.9187 -2.7895 1.7109
P Os W
1 1 3
Direct
0.0000 0.0000 0.0000 P
0.5000 0.5000 0.5000 Os
0.0000 0.5000 0.0000 W
0.5000 0.0000 0.0000 W
0.0000 0.0000 0.5000 W
```

Computed properties:
- offset from the most stable computed form (eV/atom) = 0.000
- DFT formation energy (eV/atom) = 1.06
- space group = Pm-3m (221)
- calculated volume (Å³/f.u.) = 84